[1]
Mg3Tl3Pb5 | PBE | optimized geometry

Results
Energy of formation (eV per atom): 0.110
SG: No. 189

a = 10.6453 Å, b = 10.6453 Å, c = 3.4432 Å
α = 90.00°, β = 90.00°, γ = 120.00°
Last column: nearest neighbours and their distance in Å.
Fractional coordinates of all 11 atoms:
1 Mg 0.0000 0.3274 0.0000  2 Tl 2.98, 2 Pb 3.03
2 Mg 0.3274 0.0000 0.0000  2 Tl 2.98, 2 Pb 3.03
3 Mg 0.6726 0.6726 0.0000  2 Tl 2.98, 2 Pb 3.03
4 Tl 0.0000 0.5563 0.5000  2 Mg 2.98, 2 Pb 3.23
5 Tl 0.4437 0.4437 0.5000  2 Mg 2.98, 2 Pb 3.23
6 Tl 0.5563 0.0000 0.5000  2 Mg 2.98, 2 Pb 3.23
7 Pb 0.0000 0.8133 0.0000  2 Mg 3.03, 2 Tl 3.23
8 Pb 0.1867 0.1867 0.0000  2 Mg 3.03, 2 Tl 3.23
9 Pb 0.3333 0.6667 0.0000  2 Pb 3.44, 6 Tl 3.57, 3 Mg 3.58
10 Pb 0.6667 0.3333 0.0000  2 Pb 3.44, 6 Tl 3.57, 3 Mg 3.58
11 Pb 0.8133 0.0000 0.0000  2 Mg 3.03, 2 Tl 3.23

[2]
RbCo2MoBr | PBE | optimized geometry

Results
Formation energy without anion corrections (eV/f.u.): 8.6
SG: No. 123

a = 4.6241 Å, b = 4.6241 Å, c = 5.9847 Å
α = 90.00°, β = 90.00°, γ = 90.00°
Last column: nearest neighbours and their distance in Å.
Fractional coordinates of all 5 atoms:
1 Rb 0.0000 0.0000 0.0000  2 Br 2.99, 4 Mo 3.27
2 Co 0.0000 0.5000 0.5000  2 Br 2.31
3 Co 0.5000 0.0000 0.5000  2 Br 2.31
4 Mo 0.5000 0.5000 0.0000  4 Rb 3.27
5 Br 0.0000 0.0000 0.5000  4 Co 2.31

[3]
LiB3Rh | PBE | optimized geometry

Results
Energy of formation (eV per atom): 0.839
SG: No. 221

a = 4.0626 Å, b = 4.0626 Å, c = 4.0626 Å
α = 90.00°, β = 90.00°, γ = 90.00°
Last column: nearest neighbours and their distance in Å.
Fractional coordinates of all 5 atoms:
1 Li 0.0000 0.0000 0.0000  12 B 2.87
2 B 0.0000 0.5000 0.5000  2 Rh 2.03
3 B 0.5000 0.0000 0.5000  2 Rh 2.03
4 B 0.5000 0.5000 0.0000  2 Rh 2.03
5 Rh 0.5000 0.5000 0.5000  6 B 2.03

[4]
CdPtCl2 | PBE | optimized geometry

Results
Formation energy without anion corrections (eV/f.u.): -1.0
SG: No. 160

a = 8.4696 Å, b = 8.4696 Å, c = 8.4696 Å
α = 24.96°, β = 24.96°, γ = 24.96°
Last column: nearest neighbours and their distance in Å.
Fractional coordinates of all 4 atoms:
1 Cd 0.0000 0.0000 0.0000  3 Cl 2.66, 3 Pt 2.81
2 Pt 0.2580 0.2580 0.2580  3 Cl 2.52, 3 Cd 2.81
3 Cl 0.5353 0.5353 0.5353  3 Pt 2.52
4 Cl 0.7321 0.7321 0.7321  3 Cd 2.66

[5]
Li2Pm2HoIn5 | PBE | optimized geometry

Results
Energy of formation (eV per atom): -0.415
SG: No. 127

a = 10.3194 Å, b = 10.3194 Å, c = 4.5133 Å
α = 90.00°, β = 90.00°, γ = 90.00°
Last column: nearest neighbours and their distance in Å.
Fractional coordinates of all 20 atoms:
1 Li 0.1168 0.3832 0.0000  6 In 2.83-2.92, 3 Pm 3.00-3.10
2 Li 0.3832 0.8832 0.0000  6 In 2.83-2.92, 3 Pm 3.00-3.10
3 Li 0.6168 0.1168 0.0000  6 In 2.83-2.92, 3 Pm 3.00-3.10
4 Li 0.8832 0.6168 0.0000  6 In 2.83-2.92, 3 Pm 3.00-3.10
5 Pm 0.1776 0.6776 0.0000  3 Li 3.00-3.10
6 Pm 0.3224 0.1776 0.0000  3 Li 3.00-3.10
7 Pm 0.6776 0.8224 0.0000  3 Li 3.00-3.10
8 Pm 0.8224 0.3224 0.0000  3 Li 3.00-3.10
9 Ho 0.0000 0.0000 0.0000  8 In 3.22
10 Ho 0.5000 0.5000 0.0000  8 In 3.22
11 In 0.0000 0.5000 0.5000  4 Li 2.83, 4 In 3.07
12 In 0.0688 0.2110 0.5000  2 Li 2.92, 4 In 3.07-3.24, 2 Ho 3.22
13 In 0.2110 0.9312 0.5000  2 Li 2.92, 4 In 3.07-3.24, 2 Ho 3.22
14 In 0.2890 0.4312 0.5000  2 Li 2.92, 4 In 3.07-3.24, 2 Ho 3.22
15 In 0.4312 0.7110 0.5000  2 Li 2.92, 4 In 3.07-3.24, 2 Ho 3.22
16 In 0.5000 0.0000 0.5000  4 Li 2.83, 4 In 3.07
17 In 0.5688 0.2890 0.5000  2 Li 2.92, 4 In 3.07-3.24, 2 Ho 3.22
18 In 0.7110 0.5688 0.5000  2 Li 2.92, 4 In 3.07-3.24, 2 Ho 3.22
19 In 0.7890 0.0688 0.5000  2 Li 2.92, 4 In 3.07-3.24, 2 Ho 3.22
20 In 0.9312 0.7890 0.5000  2 Li 2.92, 4 In 3.07-3.24, 2 Ho 3.22

[6]
PaPd5Pt4 | PBE | optimized geometry

Results
Energy of formation (eV per atom): -0.303
SG: No. 12

a = 7.0389 Å, b = 7.0389 Å, c = 7.2214 Å
α = 119.57°, β = 119.57°, γ = 35.47°
Last column: nearest neighbours and their distance in Å.
Fractional coordinates of all 10 atoms:
1 Pa 0.0000 0.0000 0.0000  6 Pt 2.79-2.85, 4 Pd 2.99
2 Pd 0.0000 0.0000 0.5000  6 Pt 2.73-2.80, 4 Pd 2.93
3 Pd 0.3239 0.3239 0.8977  3 Pd 2.72-2.78, 3 Pt 2.74-2.88, 2 Pa 2.99
4 Pd 0.3298 0.3298 0.2793  3 Pt 2.68-2.72, 5 Pd 2.72-2.93
5 Pd 0.6702 0.6702 0.7207  3 Pt 2.68-2.72, 5 Pd 2.72-2.93
6 Pd 0.6761 0.6761 0.1023  3 Pd 2.72-2.78, 3 Pt 2.74-2.88, 2 Pa 2.99
7 Pt 0.1820 0.1820 0.4316  4 Pt 2.65-2.75, 3 Pd 2.72-2.88, 1 Pa 2.79
8 Pt 0.4687 0.4687 0.7148  6 Pd 2.68-2.86, 2 Pt 2.75, 2 Pa 2.85
9 Pt 0.5313 0.5313 0.2852  6 Pd 2.68-2.86, 2 Pt 2.75, 2 Pa 2.85
10 Pt 0.8180 0.8180 0.5684  4 Pt 2.65-2.75, 3 Pd 2.72-2.88, 1 Pa 2.79

[7]
Sr4PdPt2 | PBE | optimized geometry

Results
Energy of formation (eV per atom): -0.681
SG: No. 8

a = 7.6020 Å, b = 7.6020 Å, c = 8.1939 Å
α = 105.32°, β = 105.32°, γ = 75.23°
Last column: nearest neighbours and their distance in Å.
Fractional coordinates of all 14 atoms:
1 Sr 0.0000 0.0000 0.0000  4 Pt 3.13-3.26, 1 Pd 3.23
2 Sr 0.0075 0.0075 0.5151  4 Pt 3.13-3.19, 1 Pd 3.29
3 Sr 0.0179 0.5100 0.1419  3 Pt 3.08-3.13, 2 Pd 3.12-3.17
4 Sr 0.0313 0.5260 0.6436  4 Pt 3.15-3.23, 2 Pd 3.20-3.22
5 Sr 0.4954 0.4954 0.9951  3 Pt 3.12-3.16, 2 Pd 3.15-3.28
6 Sr 0.5029 0.5029 0.5154  3 Pt 3.13-3.22, 2 Pd 3.16-3.24
7 Sr 0.5100 0.0179 0.1419  3 Pt 3.08-3.13, 2 Pd 3.12-3.17
8 Sr 0.5260 0.0313 0.6436  4 Pt 3.15-3.23, 2 Pd 3.20-3.22
9 Pd 0.7152 0.7152 0.8679  2 Pt 2.92, 7 Sr 3.15-3.23
10 Pd 0.7175 0.7175 0.3607  7 Sr 3.12-3.29
11 Pt 0.2167 0.2167 0.8666  2 Pt 2.93, 7 Sr 3.13-3.17
12 Pt 0.2194 0.2194 0.3642  7 Sr 3.08-3.26
13 Pt 0.3097 0.8094 0.7870  1 Pd 2.92, 1 Pt 2.93, 7 Sr 3.12-3.23
14 Pt 0.8094 0.3097 0.7870  1 Pd 2.92, 1 Pt 2.93, 7 Sr 3.12-3.23

[8]
Cu2SiTe | PBE | optimized geometry

Results
Formation energy without anion corrections (eV/f.u.): 1.7
SG: No. 65

a = 4.5044 Å, b = 4.5044 Å, c = 3.5086 Å
α = 90.00°, β = 90.00°, γ = 105.00°
Last column: nearest neighbours and their distance in Å.
Fractional coordinates of all 4 atoms:
1 Cu 0.0000 0.5000 0.0000  2 Cu 2.74, 4 Te 2.85, 4 Si 2.85
2 Cu 0.5000 0.0000 0.0000  2 Cu 2.74, 4 Te 2.85, 4 Si 2.85
3 Si 0.0000 0.0000 0.5000  2 Te 2.74, 8 Cu 2.85
4 Te 0.5000 0.5000 0.5000  2 Si 2.74, 8 Cu 2.85

[9]
AgAuBr3 | PBE | optimized geometry

Results
Formation energy without anion corrections (eV/f.u.): 0.4
SG: No. 221

a = 5.3148 Å, b = 5.3148 Å, c = 5.3148 Å
α = 90.00°, β = 90.00°, γ = 90.00°
Last column: nearest neighbours and their distance in Å.
Fractional coordinates of all 5 atoms:
1 Ag 0.0000 0.0000 0.0000  12 Br 3.76
2 Au 0.5000 0.5000 0.5000  6 Br 2.66
3 Br 0.0000 0.5000 0.5000  2 Au 2.66
4 Br 0.5000 0.0000 0.5000  2 Au 2.66
5 Br 0.5000 0.5000 0.0000  2 Au 2.66

[10]
Mn5ZnPt6 | PBE | optimized geometry

Results
Energy of formation (eV per atom): -0.402
SG: No. 12

a = 7.4227 Å, b = 7.4227 Å, c = 4.1479 Å
α = 106.17°, β = 106.17°, γ = 56.25°
Last column: nearest neighbours and their distance in Å.
Fractional coordinates of all 12 atoms:
1 Mn 0.0000 0.0000 0.0000  8 Pt 2.71, 4 Mn 2.93-2.94
2 Mn 0.1671 0.1671 0.6672  8 Pt 2.71, 4 Mn 2.93-2.94
3 Mn 0.3349 0.3349 0.3348  8 Pt 2.70-2.72, 2 Zn 2.92, 2 Mn 2.94
4 Mn 0.6651 0.6651 0.6652  8 Pt 2.70-2.72, 2 Zn 2.92, 2 Mn 2.94
5 Mn 0.8329 0.8329 0.3328  8 Pt 2.71, 4 Mn 2.93-2.94
6 Zn 0.5000 0.5000 0.0000  8 Pt 2.72, 4 Mn 2.92
7 Pt 0.0825 0.5834 0.8329  7 Mn 2.71-2.72, 1 Zn 2.72, 4 Pt 2.92-2.94
8 Pt 0.2484 0.7516 0.5000  6 Mn 2.70-2.71, 2 Zn 2.72, 4 Pt 2.93-2.94
9 Pt 0.4166 0.9175 0.1671  7 Mn 2.71-2.72, 1 Zn 2.72, 4 Pt 2.92-2.94
10 Pt 0.5834 0.0825 0.8329  7 Mn 2.71-2.72, 1 Zn 2.72, 4 Pt 2.92-2.94
11 Pt 0.7516 0.2484 0.5000  6 Mn 2.70-2.71, 2 Zn 2.72, 4 Pt 2.93-2.94
12 Pt 0.9175 0.4166 0.1671  7 Mn 2.71-2.72, 1 Zn 2.72, 4 Pt 2.92-2.94

[11]
HfAl2Ru3 | PBE | optimized geometry

Results
Energy of formation (eV per atom): -0.704
SG: No. 123

a = 3.1256 Å, b = 3.1256 Å, c = 9.0863 Å
α = 90.00°, β = 90.00°, γ = 90.00°
Last column: nearest neighbours and their distance in Å.
Fractional coordinates of all 6 atoms:
1 Hf 0.0000 0.0000 0.0000  8 Ru 2.74
2 Al 0.0000 0.0000 0.3416  8 Ru 2.64-2.66, 1 Al 2.88
3 Al 0.0000 0.0000 0.6584  8 Ru 2.64-2.66, 1 Al 2.88
4 Ru 0.5000 0.5000 0.1786  4 Al 2.66, 4 Hf 2.74, 1 Ru 2.92
5 Ru 0.5000 0.5000 0.5000  8 Al 2.64, 2 Ru 2.92
6 Ru 0.5000 0.5000 0.8214  4 Al 2.66, 4 Hf 2.74, 1 Ru 2.92

[12]
Tb4Nd5Dy4 | PBE | optimized geometry

Results
Energy of formation (eV per atom): 0.016
SG: No. 87

a = 9.5427 Å, b = 9.5427 Å, c = 9.5427 Å
α = 94.05°, β = 94.05°, γ = 149.16°
Last column: nearest neighbours and their distance in Å.
Fractional coordinates of all 13 atoms:
1 Tb 0.1547 0.7674 0.9221  6 Nd 3.56-3.63, 2 Tb 3.58, 4 Dy 3.60-3.63
2 Tb 0.2326 0.1547 0.3873  6 Nd 3.56-3.63, 2 Tb 3.58, 4 Dy 3.60-3.63
3 Tb 0.7674 0.8453 0.6127  6 Nd 3.56-3.63, 2 Tb 3.58, 4 Dy 3.60-3.63
4 Tb 0.8453 0.2326 0.0779  6 Nd 3.56-3.63, 2 Tb 3.58, 4 Dy 3.60-3.63
5 Nd 0.0000 0.0000 0.0000  8 Nd 3.62, 4 Tb 3.63
6 Nd 0.3053 0.5386 0.8439  5 Tb 3.56-3.62, 3 Dy 3.59, 4 Nd 3.62-3.65
7 Nd 0.4614 0.3053 0.7667  5 Tb 3.56-3.62, 3 Dy 3.59, 4 Nd 3.62-3.65
8 Nd 0.5386 0.6947 0.2333  5 Tb 3.56-3.62, 3 Dy 3.59, 4 Nd 3.62-3.65
9 Nd 0.6947 0.4614 0.1561  5 Tb 3.56-3.62, 3 Dy 3.59, 4 Nd 3.62-3.65
10 Dy 0.0758 0.3859 0.4618  5 Dy 3.56-3.58, 3 Nd 3.59, 4 Tb 3.60-3.63
11 Dy 0.3859 0.9242 0.3101  5 Dy 3.56-3.58, 3 Nd 3.59, 4 Tb 3.60-3.63
12 Dy 0.6141 0.0758 0.6899  5 Dy 3.56-3.58, 3 Nd 3.59, 4 Tb 3.60-3.63
13 Dy 0.9242 0.6141 0.5382  5 Dy 3.56-3.58, 3 Nd 3.59, 4 Tb 3.60-3.63

no.,DFT total energy (eV per atom)
1,-2.66
2,-3.81
3,-5.02
4,-2.92
5,-3.57
6,-6.27
7,-4.11
8,-3.78
9,-2.14
10,-7.35
11,-8.25
12,-4.66